VASP calculation (GGA-PBEsol) on Rb3HfSc after structural relaxation.

a b c (Å): 6.6623 6.6623 6.6623
angles (deg): 90.00 90.00 90.00
Last column: magnetic moment on the atom in μB.
Sites, in units of the cell vectors:
Sc 0.0000 0.0000 0.0000  1.19
Hf 0.5000 0.5000 0.5000  1.40
Rb 0.0000 0.5000 0.0000  0.06
Rb 0.0000 0.0000 0.5000  0.06
Rb 0.5000 0.0000 0.0000  0.06

Computed properties:
Formation energy from the elements: 1.834 eV/atom
ρ: 2.7 g/cm³
Magnetization: 5.97 μB per formula unit
Density of states at the Fermi level: 8.79 states/eV/f.u.